DFT (PBE) results for an optimized crystal structure of Ho2Ga5Au3.

Excess energy over the best structure of this formula in the dataset, meV per atom: 0
ρ, Mg/m³: 10.88

```
Ho2Ga5Au3
1.0
4.338 0.000 -0.739
0.000 7.037 0.000
-0.068 0.000 12.703
Ga Ho Au
10 4 6
direct
0.950 0.071 0.900 Ga
0.706 0.020 0.412 Ga
0.050 0.571 0.100 Ga
0.293 0.930 0.585 Ga
0.118 0.260 0.235 Ga
0.604 0.905 0.209 Ga
0.707 0.430 0.415 Ga
0.882 0.760 0.765 Ga
0.396 0.405 0.791 Ga
0.294 0.520 0.588 Ga
0.517 0.246 0.034 Ho
0.483 0.746 0.966 Ho
0.174 0.733 0.348 Ho
0.826 0.233 0.652 Ho
0.052 0.960 0.103 Au
0.948 0.460 0.897 Au
0.607 0.517 0.214 Au
0.393 0.017 0.786 Au
0.777 0.724 0.553 Au
0.223 0.224 0.447 Au
```